Entry 1:
IrPt2Rh2 (PBE, relaxed); calculated volume = 17.215 Å³/atom; total DFT energy (no corrections) = -6.462 eV/atom; DFT formation energy = 0.667 eV per atom; total magnetization = 0.0 μB per cell
1.0
-0.688 1.009 -3.308
-2.884 -1.191 -1.643
-5.345 6.181 1.118
Ir Pt Rh
1 2 2
Direct
0.000 0.000 0.000
0.202 0.202 0.393
0.798 0.798 0.607
0.606 0.606 0.182
0.394 0.394 0.818

Entry 2:
IrPt2Rh (PBE, relaxed); calculated volume = 15.330 Å³/atom; total DFT energy (no corrections) = -6.954 eV/atom; DFT formation energy = 0.119 eV per atom; total magnetization = 0.0 μB per cell
1.0
1.355 -2.378 0.000
1.355 2.378 0.000
0.000 0.000 9.516
Ir Pt Rh
1 2 1
Direct
0.500 0.500 0.256
0.000 0.000 0.005
0.500 0.500 0.746
0.000 0.000 0.493

Entry 3:
Ir3PtRh2 (PBE, relaxed); calculated volume = 16.763 Å³/atom; total DFT energy (no corrections) = -7.252 eV/atom; DFT formation energy = 0.636 eV per atom; total magnetization = 5.6 μB per cell
1.0
-1.124 0.589 4.948
1.858 -4.450 -1.685
8.283 2.875 1.539
Ir Pt Rh
6 2 4
Direct
0.500 0.000 0.745
0.000 0.500 0.745
0.500 0.500 0.745
0.500 0.000 0.255
0.500 0.500 0.255
0.000 0.500 0.255
0.333 0.667 0.000
0.667 0.333 0.000
0.000 0.000 0.000
0.667 0.333 0.500
0.000 0.000 0.500
0.333 0.667 0.500